Material: Li3CuRh2
Method: DFT, PBE
State: relaxed

Unit cell a=4.6219 b=4.6219 c=8.3101 alpha=90.00 beta=90.00 gamma=120.00
Space group P6_3/mmc (No. 194)
Unique sites:
Li (0.1720, 0.3440, 0.2500) x6
Cu (0.0000, 0.0000, 0.0000) x2
Rh (0.3333, 0.6667, 0.5205) x4

Properties
* DFT formation energy: -0.057 eV per atom
* size of the total moment: 0.0 μB per formula unit
* distance to the lowest polymorph of the same formula: 0.193 eV/f.u.